Record 1
Crystalline NaTbHgSe3 at its relaxed geometry, computed with PBE.

Computed properties:
- Final energy: -3.892 eV/atom
- Relative energy among the computed polymorphs: 0.00 eV per formula unit

Unit cell a=8.1598 b=4.1773 c=10.1105 alpha=90.00 beta=105.02 gamma=90.00
With the nearest neighbours (Å) after each atom.
Atoms (fractional coordinates):
1 Na 0.2192 0.2500 0.2320  4 Se 3.01-3.11
2 Na 0.7808 0.7500 0.7680  4 Se 3.01-3.11
3 Tb 0.3213 0.7500 0.8581  6 Se 2.84-3.09
4 Tb 0.6787 0.2500 0.1419  6 Se 2.84-3.09
5 Hg 0.0940 0.2500 0.6070  3 Se 2.63-2.70
6 Hg 0.9060 0.7500 0.3930  3 Se 2.63-2.70
7 Se 0.0707 0.2500 0.8620  1 Hg 2.63, 2 Tb 2.93
8 Se 0.2690 0.7500 0.5443  3 Hg 2.70-2.96
9 Se 0.4390 0.7500 0.1484  3 Tb 2.84-2.87, 2 Na 3.01
10 Se 0.5610 0.2500 0.8516  3 Tb 2.84-2.87, 2 Na 3.01
11 Se 0.7310 0.2500 0.4557  3 Hg 2.70-2.96
12 Se 0.9293 0.7500 0.1380  1 Hg 2.63, 2 Tb 2.93


Record 2
Crystalline BaNaNbPt at its relaxed geometry, computed with PBE.

Computed properties:
- Final energy: -4.308 eV/atom
- Relative energy among the computed polymorphs: 0.16 eV per formula unit

Unit cell a=5.2137 b=5.2137 c=5.2137 alpha=60.00 beta=60.00 gamma=60.00
With the nearest neighbours (Å) after each atom.
Atoms (fractional coordinates):
1 Ba 0.0000 0.0000 0.0000  4 Na 3.19, 4 Pt 3.19
2 Na 0.7500 0.7500 0.7500  4 Nb 3.19, 4 Ba 3.19
3 Nb 0.5000 0.5000 0.5000  4 Na 3.19, 4 Pt 3.19
4 Pt 0.2500 0.2500 0.2500  4 Nb 3.19, 4 Ba 3.19


Record 3
Crystalline GdYNi2Cl2 at its relaxed geometry, computed with PBE.

Computed properties:
- Final energy: -5.576 eV/atom

Unit cell a=3.9235 b=3.9235 c=10.5659 alpha=90.00 beta=90.00 gamma=120.00
With the nearest neighbours (Å) after each atom.
Atoms (fractional coordinates):
1 Gd 0.0000 0.0000 0.0000  6 Ni 2.82-3.07, 3 Cl 2.85
2 Y 0.0000 0.0000 0.3549  6 Ni 2.82-3.07, 3 Cl 2.83
3 Ni 0.3333 0.6667 0.1963  3 Ni 2.30
4 Ni 0.6667 0.3333 0.1592  3 Ni 2.30
5 Cl 0.3333 0.6667 0.8370  3 Gd 2.85
6 Cl 0.6667 0.3333 0.5149  3 Y 2.83